PaZn4Pt (GGA-PBE, relaxed); spin magnetization = 0.00 Bohr magnetons per cell; E = -3.560 eV/atom; density of states at the Fermi level = 5.45 states/eV per cell
1.0
0.0000 3.7225 3.7225
3.7225 0.0000 3.7225
3.7225 3.7225 0.0000
Pa Zn Pt
1 4 1
direct
0.0000 0.0000 0.0000 Pa
0.1277 0.6241 0.6241 Zn
0.6241 0.1277 0.6241 Zn
0.6241 0.6241 0.1277 Zn
0.6241 0.6241 0.6241 Zn
0.2500 0.2500 0.2500 Pt

---

Pa2ZnPt9 (GGA-PBE, relaxed); spin magnetization = 0.00 Bohr magnetons per cell; E = -7.062 eV/atom; density of states at the Fermi level = 1.00 states/eV per cell
1.0
4.1345 0.0000 0.0000
0.0000 4.1345 0.0000
0.0000 0.0000 12.0878
Pa Zn Pt
2 1 9
direct
0.0000 0.0000 0.1778 Pa
0.0000 0.0000 0.8222 Pa
0.0000 0.0000 0.5000 Zn
0.0000 0.5000 0.0000 Pt
0.0000 0.5000 0.3404 Pt
0.0000 0.5000 0.6596 Pt
0.5000 0.0000 0.0000 Pt
0.5000 0.0000 0.3404 Pt
0.5000 0.0000 0.6596 Pt
0.5000 0.5000 0.1706 Pt
0.5000 0.5000 0.5000 Pt
0.5000 0.5000 0.8294 Pt

---

Pa3Zn2Pt8 (GGA-PBE, relaxed); spin magnetization = 0.99 Bohr magnetons per cell; E = -6.722 eV/atom; density of states at the Fermi level = 10.54 states/eV per cell
1.0
2.7449 1.5848 10.1490
-2.7449 1.5848 10.1490
0.0000 -3.1695 10.1490
Pa Zn Pt
3 2 8
direct
0.0000 0.0000 0.0000 Pa
0.2264 0.2264 0.2264 Pa
0.7736 0.7736 0.7736 Pa
0.3947 0.3947 0.3947 Zn
0.6053 0.6053 0.6053 Zn
0.1991 0.7080 0.7080 Pt
0.2920 0.2920 0.8009 Pt
0.2920 0.8009 0.2920 Pt
0.3144 0.3144 0.3144 Pt
0.6856 0.6856 0.6856 Pt
0.7080 0.1991 0.7080 Pt
0.7080 0.7080 0.1991 Pt
0.8009 0.2920 0.2920 Pt

---

PaZn4Pt2 (GGA-PBE, relaxed); spin magnetization = 0.01 Bohr magnetons per cell; E = -4.348 eV/atom; density of states at the Fermi level = 10.49 states/eV per cell
1.0
7.6583 0.0000 0.0000
0.0000 7.6583 0.0000
0.0000 0.0000 4.1431
Pa Zn Pt
2 8 4
direct
0.0000 0.0000 0.0000 Pa
0.5000 0.5000 0.5000 Pa
0.1001 0.3514 0.5000 Zn
0.1486 0.6001 0.0000 Zn
0.3514 0.1001 0.5000 Zn
0.3999 0.8514 0.0000 Zn
0.6001 0.1486 0.0000 Zn
0.6486 0.8999 0.5000 Zn
0.8514 0.3999 0.0000 Zn
0.8999 0.6486 0.5000 Zn
0.1945 0.8055 0.5000 Pt
0.3055 0.3055 0.0000 Pt
0.6945 0.6945 0.0000 Pt
0.8055 0.1945 0.5000 Pt

---

Pa3Zn2Pt4 (GGA-PBE, relaxed); spin magnetization = 0.00 Bohr magnetons per cell; E = -6.982 eV/atom; density of states at the Fermi level = 8.57 states/eV per cell
1.0
5.3151 -2.2537 0.0000
5.3151 2.2537 0.0000
-4.2394 0.0000 7.3140
Pa Zn Pt
3 2 4
direct
0.0000 0.0000 0.0000 Pa
0.3593 0.3593 0.3229 Pa
0.6407 0.6407 0.6771 Pa
0.3487 0.3487 0.6782 Zn
0.6513 0.6513 0.3218 Zn
0.0648 0.0648 0.3858 Pt
0.2856 0.2856 0.9313 Pt
0.7144 0.7144 0.0687 Pt
0.9352 0.9352 0.6142 Pt

---

Pa2Zn6Pt3 (GGA-PBE, relaxed); spin magnetization = 0.00 Bohr magnetons per cell; E = -4.547 eV/atom; density of states at the Fermi level = 10.51 states/eV per cell
1.0
7.9273 0.0000 0.0000
-3.9636 6.8652 0.0000
0.0000 0.0000 3.6685
Pa Zn Pt
2 6 3
direct
0.3333 0.6667 0.0000 Pa
0.6667 0.3333 0.0000 Pa
0.0000 0.2792 0.5000 Zn
0.0000 0.8182 0.0000 Zn
0.1818 0.1818 0.0000 Zn
0.2792 0.0000 0.5000 Zn
0.7208 0.7208 0.5000 Zn
0.8182 0.0000 0.0000 Zn
0.0000 0.5988 0.5000 Pt
0.4012 0.4012 0.5000 Pt
0.5988 0.0000 0.5000 Pt